[1]
The following is a DFT calculation (PBE) of an optimized crystal structure of NdNpGa2O8.

The structure in POSCAR format:
```
NdNpGa2O8
1.0
4.8155 0.0000 0.0000
0.8341 4.7513 0.0000
0.0252 0.0213 7.4229
Nd Np Ga O
1 1 2 8
direct
0.0000 0.0000 0.0000 Nd
0.0000 0.0000 0.5000 Np
0.4989 0.4989 0.1892 Ga
0.5011 0.5011 0.8108 Ga
0.2192 0.7786 0.2727 O
0.2200 0.7794 0.7273 O
0.2475 0.2454 0.4980 O
0.3227 0.3210 0.0000 O
0.6773 0.6790 0.0000 O
0.7525 0.7546 0.5020 O
0.7800 0.2206 0.2727 O
0.7808 0.2214 0.7273 O
```

## Properties
Total energy in eV per atom: -7.626
Raw formation energy in eV per formula unit: -28.087

=====

[2]
The following is a DFT calculation (PBE) of an optimized crystal structure of Ca2BeSe.

The structure in POSCAR format:
```
Ca2BeSe
1.0
1.8796 1.0852 8.4649
-1.8796 1.0852 8.4649
0.0000 -2.1704 8.4649
Ca Be Se
2 1 1
direct
0.0000 0.0000 0.0000 Ca
0.2041 0.2041 0.2041 Ca
0.4543 0.4543 0.4543 Be
0.7560 0.7560 0.7560 Se
```

## Properties
Total energy in eV per atom: -3.216
Raw formation energy in eV per formula unit: -1.651

=====

[3]
The following is a DFT calculation (PBE) of an optimized crystal structure of TeIr2Se.

The structure in POSCAR format:
```
TeIr2Se
1.0
4.8300 -1.7359 0.0000
4.8300 1.7359 0.0000
-0.6591 0.0000 4.4817
Te Ir Se
1 2 1
direct
0.0000 0.0000 0.0000 Te
0.2628 0.2628 0.7840 Ir
0.5256 0.5256 0.5252 Ir
0.7610 0.7610 0.4050 Se
```

## Properties
Total energy in eV per atom: -5.704
Raw formation energy in eV per formula unit: 1.534

=====

[4]
The following is a DFT calculation (PBE) of an optimized crystal structure of LaTa5.

The structure in POSCAR format:
```
LaTa5
1.0
5.3650 -1.6750 0.0000
5.3650 1.6750 0.0000
-2.3069 0.0000 6.6982
La Ta
1 5
direct
0.0000 0.0000 0.0000 La
0.0000 0.0000 0.5000 Ta
0.3267 0.3267 0.6421 Ta
0.3280 0.3280 0.1859 Ta
0.6720 0.6720 0.8141 Ta
0.6733 0.6733 0.3579 Ta
```

## Properties
Formation energy from the elements in meV per atom: 337
Total energy in eV per atom: -10.361

=====

[5]
The following is a DFT calculation (PBE) of an optimized crystal structure of NiAg2Ru.

The structure in POSCAR format:
```
NiAg2Ru
1.0
0.0000 3.1428 3.1428
3.1428 0.0000 3.1428
3.1428 3.1428 0.0000
Ni Ag Ru
1 2 1
direct
0.0000 0.0000 0.0000 Ni
0.2500 0.2500 0.2500 Ag
0.7500 0.7500 0.7500 Ag
0.5000 0.5000 0.5000 Ru
```

## Properties
Formation energy from the elements in meV per atom: 635
Total energy in eV per atom: -4.555

=====

[6]
The following is a DFT calculation (PBE) of an optimized crystal structure of ErAl6Ag12.

The structure in POSCAR format:
```
ErAl6Ag12
1.0
5.9613 3.4417 2.9427
-5.9613 3.4417 2.9427
0.0000 -6.8835 2.9427
Er Al Ag
1 6 12
direct
0.0000 0.0000 0.0000 Er
0.2867 0.2867 0.6981 Al
0.2867 0.6981 0.2867 Al
0.3019 0.7133 0.7133 Al
0.6981 0.2867 0.2867 Al
0.7133 0.3019 0.7133 Al
0.7133 0.7133 0.3019 Al
0.1171 0.5000 0.8829 Ag
0.1171 0.8829 0.5000 Ag
0.1280 0.3745 0.3744 Ag
0.3744 0.1280 0.3744 Ag
0.3744 0.3744 0.1280 Ag
0.5000 0.1171 0.8829 Ag
0.5000 0.8829 0.1171 Ag
0.6256 0.6256 0.8720 Ag
0.6256 0.8720 0.6256 Ag
0.8720 0.6256 0.6256 Ag
0.8829 0.1171 0.5000 Ag
0.8829 0.5000 0.1171 Ag
```

## Properties
Formation energy from the elements in meV per atom: 6
Total energy in eV per atom: -3.217

=====

[7]
The following is a DFT calculation (PBE) of an optimized crystal structure of SmEuIr.

The structure in POSCAR format:
```
SmEuIr
1.0
0.0000 3.4764 3.4764
3.4764 0.0000 3.4764
3.4764 3.4764 0.0000
Sm Eu Ir
1 1 1
direct
0.0000 0.0000 0.0000 Sm
0.5000 0.5000 0.5000 Eu
0.2500 0.2500 0.2500 Ir
```

## Properties
Formation energy from the elements in meV per atom: -476
Total energy in eV per atom: -8.427

=====

[8]
The following is a DFT calculation (PBE) of an optimized crystal structure of Ti2NiPt7.

The structure in POSCAR format:
```
Ti2NiPt7
1.0
3.6527 -6.8650 0.0000
3.6527 6.8650 0.0000
0.0000 0.0000 3.7445
Ti Ni Pt
2 1 7
direct
0.1897 0.8103 0.0000 Ti
0.8103 0.1897 0.0000 Ti
0.5000 0.5000 0.5000 Ni
0.0000 0.0000 0.0000 Pt
0.2073 0.4069 0.0000 Pt
0.3090 0.6910 0.5000 Pt
0.4069 0.2073 0.0000 Pt
0.5931 0.7927 0.0000 Pt
0.6910 0.3090 0.5000 Pt
0.7927 0.5931 0.0000 Pt
```

## Properties
Formation energy from the elements in meV per atom: -57
Total energy in eV per atom: -6.443

=====

> Which formula does entry 8 have?

Ti2NiPt7

=====

> The lowest total energy belongs to which entry?

LaTa5